! GGA-PBE HPd3Pt2, optimized geometry; values from VASP
&SYSTEM
  ibrav = 0, nat = 12, ntyp = 3
/
ATOMIC_SPECIES
H 1.01 H.upf
Pd 106.42 Pd.upf
Pt 195.08 Pt.upf
CELL_PARAMETERS angstrom
-2.312 -0.320 1.458
-1.936 -3.041 -6.332
4.054 -6.035 5.103
ATOMIC_POSITIONS crystal
H 0.491 0.982 0.616
H 0.509 0.018 0.384
Pd 0.984 0.967 0.753
Pd 0.016 0.033 0.247
Pd 0.402 0.803 0.961
Pd 0.598 0.197 0.039
Pd 0.295 0.590 0.645
Pd 0.705 0.410 0.355
Pt 0.198 0.396 0.863
Pt 0.802 0.604 0.137
Pt 0.388 0.777 0.422
Pt 0.612 0.223 0.578
! * E: -5.145 eV per atom
! * space group: C2/m (12)
! * density of states at the Fermi level: 17.56 states/eV per cell
! * calculated volume: 164.3 Å³/cell

***

! GGA-PBE Er4CdBi, optimized geometry; values from VASP
&SYSTEM
  ibrav = 0, nat = 12, ntyp = 3
/
ATOMIC_SPECIES
Er 167.26 Er.upf
Cd 112.41 Cd.upf
Bi 208.98 Bi.upf
CELL_PARAMETERS angstrom
-4.838 0.760 2.721
0.449 -5.922 2.453
7.666 3.439 6.902
ATOMIC_POSITIONS crystal
Er 0.867 0.322 0.735
Er 0.133 0.822 0.265
Er 0.437 0.822 0.875
Er 0.563 0.322 0.125
Er 0.707 0.570 0.415
Er 0.293 0.070 0.585
Er 0.707 0.075 0.415
Er 0.293 0.575 0.585
Cd 0.578 0.823 0.156
Cd 0.422 0.323 0.844
Bi 0.850 0.822 0.699
Bi 0.150 0.322 0.301
! * space group: Cmcm (63)
! * density of states at the Fermi level: 14.13 states/eV per cell
! * E_form: -141.1 meV per atom
! * calculated volume: 378.2 Å³/cell

***

! GGA-PBE Sc2CdReBi, optimized geometry; values from VASP
&SYSTEM
  ibrav = 0, nat = 5, ntyp = 4
/
ATOMIC_SPECIES
Sc 44.96 Sc.upf
Re 186.21 Re.upf
Bi 208.98 Bi.upf
Cd 112.41 Cd.upf
CELL_PARAMETERS angstrom
5.170 0.000 0.000
0.000 4.955 0.000
0.000 0.000 5.170
ATOMIC_POSITIONS crystal
Sc 0.000 0.000 0.500
Sc 0.500 0.000 0.000
Re 0.000 0.500 0.000
Bi 0.500 0.500 0.500
Cd 0.000 0.000 0.000
! * space group: P4/mmm (123)
! * density of states at the Fermi level: 5.63 states/eV per cell
! * E_form: 987.3 meV per atom
! * calculated volume: 132.5 Å³/cell

***

! GGA-PBE Cs3Np2ZnSe6, optimized geometry; values from VASP
&SYSTEM
  ibrav = 0, nat = 12, ntyp = 4
/
ATOMIC_SPECIES
Cs 132.91 Cs.upf
Np 237.00 Np.upf
Zn 65.41 Zn.upf
Se 78.96 Se.upf
CELL_PARAMETERS angstrom
-1.853 7.265 -0.009
-2.210 -4.674 5.431
8.187 0.914 2.542
ATOMIC_POSITIONS crystal
Cs 0.159 0.841 0.500
Cs 0.841 0.159 0.500
Cs 0.500 0.500 0.500
Np 0.331 0.669 0.000
Np 0.669 0.331 0.000
Zn 0.000 0.000 0.000
Se 0.940 0.590 0.810
Se 0.750 0.750 0.160
Se 0.060 0.410 0.190
Se 0.590 0.940 0.810
Se 0.250 0.250 0.840
Se 0.410 0.060 0.190
! * E: -5.271 eV per atom
! * space group: C2/m (12)
! * density of states at the Fermi level: 17.32 states/eV per cell
! * calculated volume: 394.8 Å³/cell

***

Question: What is the calculated volume in the third record?
Answer: 132.5 Å³/cell

***

Question: Look up the calculated volume of the third one.
Answer: 132.5 Å³/cell

***

Please write out number 3 again, unchanged.
! GGA-PBE Sc2CdReBi, optimized geometry; values from VASP
&SYSTEM
  ibrav = 0, nat = 5, ntyp = 4
/
ATOMIC_SPECIES
Sc 44.96 Sc.upf
Re 186.21 Re.upf
Bi 208.98 Bi.upf
Cd 112.41 Cd.upf
CELL_PARAMETERS angstrom
5.170 0.000 0.000
0.000 4.955 0.000
0.000 0.000 5.170
ATOMIC_POSITIONS crystal
Sc 0.000 0.000 0.500
Sc 0.500 0.000 0.000
Re 0.000 0.500 0.000
Bi 0.500 0.500 0.500
Cd 0.000 0.000 0.000
! * space group: P4/mmm (123)
! * density of states at the Fermi level: 5.63 states/eV per cell
! * E_form: 987.3 meV per atom
! * calculated volume: 132.5 Å³/cell

***

Question: What is the formula in the third record?
Answer: Sc2CdReBi